Below is crystalline NdTm2Ru9 at its relaxed geometry, with properties calculated at the GGA-PBE level.

Output
Its crystal system is trigonal. The value obtained for the formation energy is -136.3 meV/atom. For the magnetic moment, the calculation gives 0.0 μB/cell. The value obtained for the density of states at the Fermi level is 1.421 states/eV per atom. As for the total energy: -8.236 eV per atom.

Cell: 9.1667 9.1667 9.1667 Å, 33.55 33.55 33.55°
Sites, in units of the cell vectors:
Nd1 0.0000 0.0000 0.0000
Tm1 0.1398 0.1398 0.1398
Tm2 0.8602 0.8602 0.8602
Ru1 0.0718 0.5901 0.5901
Ru2 0.3388 0.3388 0.3388
Ru3 0.4099 0.4099 0.9282
Ru4 0.4099 0.9282 0.4099
Ru5 0.5000 0.5000 0.5000
Ru6 0.5901 0.0718 0.5901
Ru7 0.5901 0.5901 0.0718
Ru8 0.6612 0.6612 0.6612
Ru9 0.9282 0.4099 0.4099